Entry 1:
This record from Alexandria via LeMat-Bulk describes crystalline AlCd2Ga at its relaxed geometry. The functional is GGA-PBE.

Computed properties:
For the total energy, the calculation gives -7.881 eV per cell. Its space group is No. 160.

a b c (Å): 5.3263 5.3263 5.3263
angles (deg): 53.04 53.04 53.04
Last column: nearest neighbours and their distance in Å.
Positions (direct):
Al 0.0000 0.0000 0.0000  1 Ga 2.77, 4 Cd 3.03-3.04
Cd 0.5707 0.5707 0.5707  3 Ga 2.79, 1 Cd 2.85, 3 Al 3.04
Cd 0.7788 0.7788 0.7788  1 Cd 2.85, 3 Ga 3.01, 4 Al 3.03-3.15
Ga 0.2020 0.2020 0.2020  1 Al 2.77, 6 Cd 2.79-3.01

Entry 2:
This record from Alexandria via LeMat-Bulk describes crystalline AlCd2Ga at its relaxed geometry. The functional is GGA-PBE.

Computed properties:
For the total energy, the calculation gives -8.156 eV per cell. Its space group is No. 123.

a b c (Å): 4.3491 4.3491 4.3806
angles (deg): 90.00 90.00 90.00
Last column: nearest neighbours and their distance in Å.
Positions (direct):
Al 0.0000 0.0000 0.0000  4 Ga 3.08, 8 Cd 3.09
Cd 0.0000 0.5000 0.5000  4 Cd 3.08, 4 Al 3.09, 4 Ga 3.09
Cd 0.5000 0.0000 0.5000  4 Cd 3.08, 4 Al 3.09, 4 Ga 3.09
Ga 0.5000 0.5000 0.0000  4 Al 3.08, 8 Cd 3.09

Entry 3:
This record from Alexandria via LeMat-Bulk describes crystalline AlCdGa at its relaxed geometry. The functional is GGA-PBE.

Computed properties:
For the total energy, the calculation gives -14.837 eV per cell. Its space group is No. 1.

a b c (Å): 4.3026 4.6512 6.3046
angles (deg): 90.05 93.22 90.01
Last column: nearest neighbours and their distance in Å.
Positions (direct):
Al 0.0000 0.0000 0.0000  4 Ga 2.70-2.76, 2 Al 2.80, 2 Cd 2.83-2.93
Al 0.0140 0.5002 0.2476  4 Ga 2.70-2.76, 2 Al 2.80, 2 Cd 2.83-2.93
Cd 0.2447 0.8443 0.5917  2 Al 2.83-2.93, 2 Ga 2.86-2.87, 2 Cd 3.14
Cd 0.7699 0.3443 0.6563  2 Al 2.83-2.93, 2 Ga 2.86-2.87, 2 Cd 3.14
Ga 0.4946 0.6419 0.9953  4 Al 2.70-2.76, 2 Ga 2.83, 2 Cd 2.86-2.87
Ga 0.5195 0.1421 0.2527  4 Al 2.70-2.76, 2 Ga 2.83, 2 Cd 2.86-2.87

Entry 4:
This record from Alexandria via LeMat-Bulk describes crystalline AlCdGa at its relaxed geometry. The functional is GGA-PBE.

Computed properties:
For the total energy, the calculation gives -14.901 eV per cell. Its space group is No. 2.

a b c (Å): 2.9671 6.1095 7.3559
angles (deg): 113.07 98.25 94.36
Last column: nearest neighbours and their distance in Å.
Positions (direct):
Al 0.0000 0.0000 0.0000  4 Ga 2.85-3.07, 4 Cd 2.87-3.03, 4 Al 2.97-3.05
Al 0.0000 0.5000 0.0000  4 Ga 2.92-2.94, 4 Cd 2.93-3.00, 4 Al 2.97-3.05
Cd 0.3486 0.0966 0.6912  4 Al 2.87-3.03, 4 Cd 2.90-2.99, 2 Ga 3.04-3.08
Cd 0.6514 0.9034 0.3088  4 Al 2.87-3.03, 4 Cd 2.90-2.99, 2 Ga 3.04-3.08
Ga 0.4003 0.5969 0.6946  3 Ga 2.81-2.97, 4 Al 2.85-3.07, 2 Cd 3.04-3.08
Ga 0.5997 0.4031 0.3054  3 Ga 2.81-2.97, 4 Al 2.85-3.07, 2 Cd 3.04-3.08